[1]
## ReSiTc (PBE-GGA)

Data for a relaxed structure of ReSiTc.

Computed properties:
excess energy over the best structure of this formula in the dataset: 132 meV per atom
density of states at the Fermi level: 0.640 states/eV/atom
magnetization: 0.00 μB per formula unit
energy relative to the elements, uncorrected: -0.1840 eV/atom
crystal system: orthorhombic

CIF file:
```
data_ReSiTc
_space_group_name_H-M_alt 'P 1'
_space_group_IT_number 1
_space_group_name_Hall 'P 1'
_cell_length_a 4.535
_cell_length_b 7.648
_cell_length_c 4.872
_cell_angle_alpha 90.00
_cell_angle_beta 90.00
_cell_angle_gamma 90.00
loop_
_atom_site_label
_atom_site_fract_x
_atom_site_fract_y
_atom_site_fract_z
Si1 0.000 0.000 0.245
Tc1 0.000 0.663 0.242
Re1 0.500 0.337 0.597
Tc2 0.000 0.337 0.242
Tc3 0.000 0.837 0.742
Re2 0.500 0.163 0.097
Si2 0.000 0.500 0.745
Re3 0.500 0.663 0.597
Re4 0.500 0.837 0.097
Tc4 0.000 0.163 0.742
Si3 0.500 0.000 0.596
Si4 0.500 0.500 0.096
```

=====

[2]
## Hf2MgIn (PBE-GGA)

Data for a relaxed structure of Hf2MgIn.

Computed properties:
density of states at the Fermi level: 0.652 states/eV/atom
magnetization: 0.00 μB per formula unit
crystal system: tetragonal
formation enthalpy at 0 K: 0.25 eV/f.u.

CIF file:
```
data_Hf2MgIn
_space_group_name_H-M_alt 'P 1'
_space_group_IT_number 1
_space_group_name_Hall 'P 1'
_cell_length_a 3.707
_cell_length_b 3.707
_cell_length_c 6.271
_cell_angle_alpha 90.00
_cell_angle_beta 90.00
_cell_angle_gamma 90.00
loop_
_atom_site_label
_atom_site_fract_x
_atom_site_fract_y
_atom_site_fract_z
In1 0.500 0.500 0.000
Hf1 0.000 0.000 0.749
Hf2 0.000 0.000 0.251
Mg1 0.500 0.500 0.500
```

=====

[3]
## Sn2PtAu (PBE-GGA)

Data for a relaxed structure of Sn2PtAu.

Computed properties:
excess energy over the best structure of this formula in the dataset: 80 meV per atom
density of states at the Fermi level: 0.420 states/eV/atom
magnetization: 0.00 μB per formula unit
crystal system: trigonal
formation enthalpy at 0 K: -1.00 eV/f.u.

CIF file:
```
data_Sn2PtAu
_space_group_name_H-M_alt 'P 1'
_space_group_IT_number 1
_space_group_name_Hall 'P 1'
_cell_length_a 4.079
_cell_length_b 4.079
_cell_length_c 6.743
_cell_angle_alpha 72.39
_cell_angle_beta 72.39
_cell_angle_gamma 60.00
loop_
_atom_site_label
_atom_site_fract_x
_atom_site_fract_y
_atom_site_fract_z
Sn1 0.076 0.076 0.772
Pt1 0.664 0.664 0.007
Au1 0.501 0.501 0.498
Sn2 0.259 0.259 0.223
```

=====

[4]
## CeAsF (PBE-GGA)

Data for a relaxed structure of CeAsF.

Computed properties:
excess energy over the best structure of this formula in the dataset: 405 meV per atom
density of states at the Fermi level: 1.756 states/eV/atom
magnetization: 1.21 μB per formula unit
energy relative to the elements, uncorrected: -1.8334 eV/atom
crystal system: tetragonal

CIF file:
```
data_CeAsF
_space_group_name_H-M_alt 'P 1'
_space_group_IT_number 1
_space_group_name_Hall 'P 1'
_cell_length_a 3.361
_cell_length_b 3.361
_cell_length_c 5.817
_cell_angle_alpha 106.79
_cell_angle_beta 106.79
_cell_angle_gamma 90.00
loop_
_atom_site_label
_atom_site_fract_x
_atom_site_fract_y
_atom_site_fract_z
As1 0.007 0.007 0.015
Ce1 0.705 0.705 0.411
F1 0.287 0.287 0.574
```

=====

[5]
## Tb3Bi2Te2 (PBE-GGA)

Data for a relaxed structure of Tb3Bi2Te2.

Computed properties:
density of states at the Fermi level: 0.586 states/eV/atom
magnetization: 0.00 μB per formula unit
energy relative to the elements, uncorrected: -0.9442 eV/atom
crystal system: monoclinic

CIF file:
```
data_Tb3Bi2Te2
_space_group_name_H-M_alt 'P 1'
_space_group_IT_number 1
_space_group_name_Hall 'P 1'
_cell_length_a 4.370
_cell_length_b 7.707
_cell_length_c 8.666
_cell_angle_alpha 115.72
_cell_angle_beta 104.61
_cell_angle_gamma 90.00
loop_
_atom_site_label
_atom_site_fract_x
_atom_site_fract_y
_atom_site_fract_z
Tb1 0.741 0.251 0.482
Bi1 0.375 0.206 0.750
Te1 0.127 0.305 0.254
Bi2 0.625 0.794 0.250
Tb2 0.259 0.749 0.518
Te2 0.873 0.695 0.746
Tb3 0.000 0.500 0.000
```

=====

[6]
## KYP2O (PBE-GGA)

Data for a relaxed structure of KYP2O.

Computed properties:
excess energy over the best structure of this formula in the dataset: 1158 meV per atom
density of states at the Fermi level: 1.393 states/eV/atom
magnetization: 0.25 μB per formula unit
energy relative to the elements, uncorrected: 0.6639 eV/atom
crystal system: tetragonal

CIF file:
```
data_KYP2O
_space_group_name_H-M_alt 'P 1'
_space_group_IT_number 1
_space_group_name_Hall 'P 1'
_cell_length_a 5.073
_cell_length_b 5.073
_cell_length_c 4.376
_cell_angle_alpha 90.00
_cell_angle_beta 90.00
_cell_angle_gamma 90.00
loop_
_atom_site_label
_atom_site_fract_x
_atom_site_fract_y
_atom_site_fract_z
P1 0.500 0.000 0.000
Y1 0.500 0.500 0.500
O1 0.000 0.000 0.500
K1 0.000 0.000 0.000
P2 0.000 0.500 0.000
```

=====

[7]
## AgHg4Au (PBE-GGA)

Data for a relaxed structure of AgHg4Au.

Computed properties:
excess energy over the best structure of this formula in the dataset: 298 meV per atom
density of states at the Fermi level: 0.409 states/eV/atom
magnetization: 0.00 μB per formula unit
crystal system: cubic
formation enthalpy at 0 K: 2.04 eV/f.u.

CIF file:
```
data_AgHg4Au
_space_group_name_H-M_alt 'P 1'
_space_group_IT_number 1
_space_group_name_Hall 'P 1'
_cell_length_a 5.844
_cell_length_b 5.844
_cell_length_c 5.844
_cell_angle_alpha 60.00
_cell_angle_beta 60.00
_cell_angle_gamma 60.00
loop_
_atom_site_label
_atom_site_fract_x
_atom_site_fract_y
_atom_site_fract_z
Hg1 0.375 0.375 0.875
Hg2 0.375 0.875 0.375
Au1 0.000 0.000 0.000
Hg3 0.375 0.375 0.375
Hg4 0.875 0.375 0.375
Ag1 0.750 0.750 0.750
```

=====

[8]
## Hg12Au5I3 (PBE-GGA)

Data for a relaxed structure of Hg12Au5I3.

Computed properties:
density of states at the Fermi level: 0.262 states/eV/atom
magnetization: 0.00 μB per formula unit
energy relative to the elements, uncorrected: 0.0556 eV/atom
crystal system: cubic

CIF file:
```
data_Hg12Au5I3
_space_group_name_H-M_alt 'P 1'
_space_group_IT_number 1
_space_group_name_Hall 'P 1'
_cell_length_a 15.286
_cell_length_b 15.286
_cell_length_c 15.286
_cell_angle_alpha 109.47
_cell_angle_beta 109.47
_cell_angle_gamma 109.47
loop_
_atom_site_label
_atom_site_fract_x
_atom_site_fract_y
_atom_site_fract_z
Hg1 0.880 0.063 0.583
Hg2 0.682 0.203 0.620
Hg3 0.620 0.917 0.437
I1 0.875 0.750 0.125
Au1 0.250 0.375 0.625
Au2 0.750 0.125 0.875
Hg4 0.917 0.620 0.937
Hg5 0.318 0.520 0.437
I2 0.125 0.875 0.750
Au3 0.625 0.750 0.875
Hg6 0.520 0.203 0.083
Au4 0.000 0.000 0.500
Hg7 0.318 0.797 0.380
Au5 0.500 0.500 0.000
I3 0.250 0.125 0.375
Hg8 0.297 0.917 0.980
Hg9 0.083 0.703 0.520
Hg10 0.703 0.083 0.020
I4 0.625 0.375 0.750
Au6 0.000 0.500 0.000
Hg11 0.937 0.818 0.520
Hg12 0.380 0.297 0.318
Hg13 0.682 0.480 0.563
Hg14 0.063 0.182 0.480
Hg15 0.797 0.480 0.417
Hg16 0.818 0.880 0.297
Hg17 0.703 0.620 0.182
Hg18 0.380 0.083 0.563
Au7 0.125 0.750 0.375
Hg19 0.120 0.182 0.203
Hg20 0.620 0.703 0.682
Au8 0.000 0.500 0.500
Au9 0.500 0.000 0.500
Hg21 0.480 0.797 0.917
I5 0.625 0.250 0.375
Au10 0.250 0.875 0.125
Hg22 0.417 0.437 0.120
Hg23 0.583 0.020 0.203
I6 0.375 0.625 0.250
Hg24 0.583 0.563 0.880
Hg25 0.063 0.880 0.083
Hg26 0.797 0.318 0.880
Hg27 0.182 0.120 0.703
Hg28 0.980 0.563 0.182
I7 0.750 0.375 0.125
I8 0.125 0.250 0.875
Au11 0.375 0.250 0.125
Au12 0.000 0.000 0.000
Hg29 0.480 0.682 0.063
Hg30 0.520 0.318 0.937
I9 0.375 0.750 0.625
Hg31 0.020 0.437 0.818
Hg32 0.563 0.583 0.380
Hg33 0.182 0.063 0.980
Au13 0.875 0.625 0.750
Hg34 0.937 0.120 0.917
Hg35 0.203 0.520 0.583
Au14 0.500 0.000 0.000
Hg36 0.120 0.937 0.417
Hg37 0.880 0.818 0.797
Hg38 0.917 0.297 0.480
Hg39 0.980 0.417 0.297
Hg40 0.020 0.583 0.703
Au15 0.375 0.125 0.750
Au16 0.500 0.500 0.500
Hg41 0.437 0.417 0.620
Au17 0.125 0.375 0.250
Hg42 0.203 0.682 0.120
I10 0.750 0.875 0.625
Au18 0.625 0.875 0.250
Hg43 0.083 0.380 0.063
I11 0.875 0.125 0.250
Hg44 0.563 0.980 0.682
Hg45 0.417 0.980 0.797
Au19 0.750 0.625 0.375
Hg46 0.818 0.937 0.020
Hg47 0.437 0.020 0.318
I12 0.250 0.625 0.875
Au20 0.875 0.250 0.625
Hg48 0.297 0.380 0.818
```